Record 1
Entry from Alexandria: Be4RhBr after structural relaxation (PBE).

a b c (Å): 4.585 4.585 4.585
angles (deg): 60.00 60.00 60.00
Sites, in units of the cell vectors:
Be1 0.122 0.122 0.122
Be2 0.122 0.122 0.633
Be3 0.122 0.633 0.122
Be4 0.633 0.122 0.122
Rh1 0.750 0.750 0.750
Br1 0.500 0.500 0.500

density: 5.33 g cm⁻³
total energy: -3.600 eV per atom
E_form (uncorrected): 388 meV/atom
Fermi-level density of states: 0.39 states/eV/atom
size of the total moment: 0.0 μB/cell

Record 2
Entry from Alexandria: BeRh2Br after structural relaxation (PBE).

a b c (Å): 6.739 6.739 6.739
angles (deg): 154.40 152.15 38.19
Sites, in units of the cell vectors:
Be1 0.000 0.000 0.000
Rh1 0.437 0.437 0.000
Rh2 0.618 0.118 0.500
Br1 0.268 0.768 0.500

density: 7.93 g cm⁻³
total energy: -4.909 eV per atom
E_form (uncorrected): 116 meV/atom
Fermi-level density of states: 1.07 states/eV/atom
size of the total moment: 0.0 μB/cell

Record 3
Entry from Alexandria: BeRhSe2Br after structural relaxation (PBE).

a b c (Å): 4.572 4.572 4.594
angles (deg): 90.00 90.00 90.00
Sites, in units of the cell vectors:
Be1 0.000 0.000 0.000
Rh1 0.500 0.500 0.500
Se1 0.000 0.500 0.000
Se2 0.500 0.000 0.000
Br1 0.000 0.000 0.500

density: 6.05 g cm⁻³
total energy: -3.379 eV per atom
E_form (uncorrected): 565 meV/atom
Fermi-level density of states: 1.14 states/eV/atom
size of the total moment: 1.0 μB/cell

Record 4
Entry from Alexandria: BeRhSe2Br after structural relaxation (PBE).

a b c (Å): 4.869 4.869 5.070
angles (deg): 90.00 90.00 90.00
Sites, in units of the cell vectors:
Be1 0.000 0.000 0.000
Rh1 0.500 0.500 0.500
Se1 0.000 0.500 0.500
Se2 0.500 0.000 0.500
Br1 0.500 0.500 0.000

density: 4.83 g cm⁻³
total energy: -3.256 eV per atom
E_form (uncorrected): 688 meV/atom
Fermi-level density of states: 1.06 states/eV/atom
size of the total moment: 0.0 μB/cell

Record 5
Entry from Alexandria: Be2TcRhBr after structural relaxation (PBE).

a b c (Å): 4.186 4.186 5.161
angles (deg): 90.00 90.00 90.00
Sites, in units of the cell vectors:
Be1 0.000 0.500 0.000
Be2 0.500 0.000 0.000
Tc1 0.000 0.000 0.500
Rh1 0.500 0.500 0.000
Br1 0.500 0.500 0.500

density: 5.49 g cm⁻³
total energy: -4.240 eV per atom
E_form (uncorrected): 1129 meV/atom
Fermi-level density of states: 0.79 states/eV/atom
size of the total moment: 3.7 μB/cell

Record 6
Entry from Alexandria: BeRhW2Br after structural relaxation (PBE).

a b c (Å): 4.414 4.414 4.100
angles (deg): 90.00 90.00 90.00
Sites, in units of the cell vectors:
Be1 0.000 0.000 0.000
Rh1 0.000 0.000 0.500
W1 0.000 0.500 0.000
W2 0.500 0.000 0.000
Br1 0.500 0.500 0.500

density: 11.63 g cm⁻³
total energy: -6.407 eV per atom
E_form (uncorrected): 1324 meV/atom
Fermi-level density of states: 1.01 states/eV/atom
size of the total moment: 0.0 μB/cell

Record 7
Entry from Alexandria: Be4RuBr after structural relaxation (PBE).

a b c (Å): 4.539 4.539 4.539
angles (deg): 60.00 60.00 60.00
Sites, in units of the cell vectors:
Be1 0.378 0.378 0.378
Be2 0.378 0.378 0.866
Be3 0.378 0.866 0.378
Be4 0.866 0.378 0.378
Ru1 0.750 0.750 0.750
Br1 0.000 0.000 0.000

density: 5.45 g cm⁻³
total energy: -3.887 eV per atom
E_form (uncorrected): 422 meV/atom
Fermi-level density of states: 0.59 states/eV/atom
size of the total moment: 0.0 μB/cell

Record 8
Entry from Alexandria: BeRu3Br after structural relaxation (PBE).

a b c (Å): 4.213 4.213 4.213
angles (deg): 90.00 90.00 90.00
Sites, in units of the cell vectors:
Be1 0.000 0.000 0.000
Ru1 0.000 0.000 0.500
Ru2 0.000 0.500 0.000
Ru3 0.500 0.000 0.000
Br1 0.500 0.500 0.500

density: 8.71 g cm⁻³
total energy: -5.555 eV per atom
E_form (uncorrected): 1090 meV/atom
Fermi-level density of states: 1.45 states/eV/atom
size of the total moment: 0.0 μB/cell

Record 9
Entry from Alexandria: BeRuBr3 after structural relaxation (PBE).

a b c (Å): 5.053 5.053 5.053
angles (deg): 90.00 90.00 90.00
Sites, in units of the cell vectors:
Be1 0.000 0.000 0.000
Ru1 0.500 0.500 0.500
Br1 0.000 0.500 0.500
Br2 0.500 0.000 0.500
Br3 0.500 0.500 0.000

density: 4.50 g cm⁻³
total energy: -2.956 eV per atom
E_form (uncorrected): 648 meV/atom
Fermi-level density of states: 0.86 states/eV/atom
size of the total moment: 0.4 μB/cell

Record 10
Entry from Alexandria: Be2Ru2Br after structural relaxation (PBE).

a b c (Å): 6.607 6.607 3.039
angles (deg): 90.00 90.00 90.00
Sites, in units of the cell vectors:
Be1 0.121 0.379 0.000
Be2 0.379 0.879 0.000
Be3 0.621 0.121 0.000
Be4 0.879 0.621 0.000
Ru1 0.158 0.658 0.500
Ru2 0.342 0.158 0.500
Ru3 0.658 0.842 0.500
Ru4 0.842 0.342 0.500
Br1 0.000 0.000 0.500
Br2 0.500 0.500 0.500

density: 7.51 g cm⁻³
total energy: -5.148 eV per atom
E_form (uncorrected): 388 meV/atom
Fermi-level density of states: 1.00 states/eV/atom
size of the total moment: 0.0 μB/cell

Record 11
Entry from Alexandria: Be3RuBr after structural relaxation (PBE).

a b c (Å): 4.182 4.182 4.182
angles (deg): 90.00 90.00 90.00
Sites, in units of the cell vectors:
Be1 0.000 0.000 0.500
Be2 0.000 0.500 0.000
Be3 0.500 0.000 0.000
Ru1 0.500 0.500 0.500
Br1 0.000 0.000 0.000

density: 4.72 g cm⁻³
total energy: -2.849 eV per atom
E_form (uncorrected): 1576 meV/atom
Fermi-level density of states: 0.30 states/eV/atom
size of the total moment: 1.0 μB/cell

Record 12
Entry from Alexandria: BeRuBr4 after structural relaxation (PBE).

a b c (Å): 6.155 6.155 6.155
angles (deg): 60.00 60.00 60.00
Sites, in units of the cell vectors:
Be1 0.000 0.000 0.000
Ru1 0.250 0.250 0.250
Br1 0.126 0.625 0.625
Br2 0.625 0.126 0.625
Br3 0.625 0.625 0.126
Br4 0.625 0.625 0.625

density: 4.33 g cm⁻³
total energy: -1.719 eV per atom
E_form (uncorrected): 1563 meV/atom
Fermi-level density of states: 1.91 states/eV/atom
size of the total moment: 2.5 μB/cell

- Which value of density does entry 10 give?
  7.51 g cm⁻³

- The lowest total energy belongs to which entry?
  BeRhW2Br